A plane-wave DFT calculation with PBE with a Hubbard U was carried out for VCdIO2 after structural relaxation.

Cell: 4.2126 4.2126 6.0166 Å, 90.00 90.00 90.00°
Atoms (fractional coordinates):
V  0.0000  0.0000  0.0000
Cd  0.5000  0.5000  0.5000
I  0.5000  0.5000  0.0000
O  0.0000  0.5000  0.5000
O  0.5000  0.0000  0.5000

Results
Polymorph energy (0 for the lowest one): 4.57 eV/f.u.